Record 1
A geometry-optimized KAg2Os structure. Source: Alexandria via LeMat-Bulk, functional PBE-GGA.

Cell and atoms, written as POSCAR:
```
KAg2Os
1.0
-2.9282 -1.1711 4.3757
4.4737 0.0691 3.0122
-0.4169 8.2699 5.2586
K Ag Os
2 4 2
Cartesian
0.7728 -0.5510 3.6940
2.4148 3.8940 5.9824
0.1325 1.0870 7.0220
-2.1099 1.0503 5.5241
-0.8557 5.7718 5.9586
-2.3114 5.1864 8.1521
0.0000 0.0000 0.0000
-1.2861 3.2739 6.6642
```

Computed properties:
Excess energy over the best structure of this formula in the dataset in eV per formula unit: 2.05
ΔH_f (0 K) in kJ per mole of atoms: 119.9
Electronic total energy in eV per atom: -3.26
Magnetization in μB/f.u.: 2.51

---

Record 2
A geometry-optimized In2SbP structure. Source: Alexandria via LeMat-Bulk, functional PBE-GGA.

Cell and atoms, written as POSCAR:
```
In2SbP
1.0
4.9549 0.0000 0.0000
0.0000 4.9549 0.0000
0.0000 0.0000 3.9309
Sb P In
1 1 2
Cartesian
0.0000 2.4774 1.9654
2.4774 0.0000 1.9654
0.0000 0.0000 0.0000
2.4774 2.4774 0.0000
```

Computed properties:
Excess energy over the best structure of this formula in the dataset in eV per formula unit: 1.82
Electronic total energy in eV per atom: -3.44
E_form (uncorrected) in meV per atom: 311
Magnetization in μB/f.u.: 0.00

---

Record 3
A geometry-optimized Co2CuBiN structure. Source: Alexandria via LeMat-Bulk, functional PBE-GGA.

Cell and atoms, written as POSCAR:
```
Co2CuBiN
1.0
4.8505 0.0000 0.0000
0.0000 4.3218 0.0000
0.0000 0.0000 4.8505
Bi Cu Co N
1 1 2 1
Cartesian
0.0000 0.0000 0.0000
2.4252 2.1609 2.4252
2.4252 0.0000 0.0000
0.0000 0.0000 2.4252
0.0000 2.1609 0.0000
```

Computed properties:
Electronic total energy in eV per atom: -4.09
E_form (uncorrected) in meV per atom: 2014
Magnetization in μB/f.u.: 2.66

---

Record 4
A geometry-optimized ScW2Se structure. Source: Alexandria via LeMat-Bulk, functional PBE-GGA.

Cell and atoms, written as POSCAR:
```
ScW2Se
1.0
-4.2443 -2.5163 -0.9276
1.1368 -2.7568 2.2769
-1.6505 1.7148 2.9003
W Se Sc
2 1 1
Cartesian
-0.2569 -0.5210 2.5886
0.0000 0.0000 0.0000
-2.9474 -0.4007 0.9863
-1.5538 -2.6365 0.6746
```

Computed properties:
Electronic total energy in eV per atom: -8.78
E_form (uncorrected) in meV per atom: 147
Magnetization in μB/f.u.: 0.00

---

Record 5
A geometry-optimized Na2ZnInH structure. Source: Alexandria via LeMat-Bulk, functional PBE-GGA.

Cell and atoms, written as POSCAR:
```
Na2ZnInH
1.0
-4.1343 1.9945 -0.3277
-1.1234 -1.6471 4.1477
1.6516 3.7411 1.9330
Zn Na In H
1 2 1 1
Cartesian
0.8258 1.8706 0.9665
-2.0672 0.9973 -0.1639
-0.5617 -0.8235 2.0738
-1.8030 2.0443 2.8765
0.0000 0.0000 0.0000
```

Computed properties:
Excess energy over the best structure of this formula in the dataset in eV per formula unit: 0.00
Electronic total energy in eV per atom: -1.93
Magnetization in μB/f.u.: 0.00

---

Record 6
A geometry-optimized RbAsI6 structure. Source: Alexandria via LeMat-Bulk, functional PBE-GGA.

Cell and atoms, written as POSCAR:
```
RbAsI6
1.0
-6.7188 5.2543 2.5118
-11.7165 -2.2020 2.4564
-5.1750 -0.4906 7.2691
I As Rb
6 1 1
Cartesian
-16.7245 -0.0434 8.4313
-6.8858 2.6051 3.8059
-13.9441 3.1084 8.6047
-13.6864 -1.2106 4.2807
-9.9239 3.7723 7.9566
-9.6661 -0.5467 3.6325
0.0000 0.0000 0.0000
-11.8051 1.2808 6.1186
```

Computed properties:
Electronic total energy in eV per atom: -2.23
E_form (uncorrected) in meV per atom: -368
Magnetization in μB/f.u.: 0.00

---

Record 7
A geometry-optimized AcCePm2Tl4 structure. Source: Alexandria via LeMat-Bulk, functional PBE-GGA.

Cell and atoms, written as POSCAR:
```
AcCePm2Tl4
1.0
-2.9999 -1.2957 4.5452
-2.8035 -4.8405 0.2171
5.3829 -6.1188 5.2558
Ac Tl Pm Ce
1 4 2 1
Cartesian
0.0000 0.0000 0.0000
-2.8879 -4.6369 3.6667
2.5872 -4.5626 3.8543
-3.0077 -7.6925 6.1638
2.4674 -7.6181 6.3514
-0.3238 -9.1866 7.5094
-0.0967 -3.0684 2.5087
-0.2102 -6.1275 5.0090
```

Computed properties:
ΔH_f (0 K) in kJ per mole of atoms: -30.4
Electronic total energy in eV per atom: -3.94
Magnetization in μB/f.u.: 1.06

---

Record 8
A geometry-optimized YTl2Ga structure. Source: Alexandria via LeMat-Bulk, functional PBE-GGA.

Cell and atoms, written as POSCAR:
```
YTl2Ga
1.0
0.0000 3.7464 3.7464
3.7464 0.0000 3.7464
3.7464 3.7464 0.0000
Y Tl Ga
1 2 1
Cartesian
3.7464 3.7464 3.7464
1.8732 1.8732 1.8732
5.6197 5.6197 5.6197
0.0000 0.0000 0.0000
```

Computed properties:
Excess energy over the best structure of this formula in the dataset in eV per formula unit: 0.86
ΔH_f (0 K) in kJ per mole of atoms: -7.3
Electronic total energy in eV per atom: -3.63
Magnetization in μB/f.u.: 0.00

---

Record 9
A geometry-optimized PuPa4O10 structure. Source: Alexandria via LeMat-Bulk, functional PBE-GGA.

Cell and atoms, written as POSCAR:
```
PuPa4O10
1.0
3.8505 0.0000 0.4732
1.8962 3.3513 0.4732
0.0042 0.0024 15.8703
O Pa Pu
10 4 1
Cartesian
4.3154 2.5166 12.5942
0.3056 0.1782 13.4172
1.4355 0.8371 4.2223
4.8870 2.8499 7.9423
0.8639 0.5038 8.8742
5.4453 3.1755 3.3994
3.7207 2.1698 1.5297
2.0302 1.1839 15.2868
2.5902 1.5105 10.7294
3.1607 1.8432 6.0871
3.4536 2.0140 3.7030
1.1516 0.6715 6.5330
4.5993 2.6822 10.2835
2.2973 1.3397 13.1136
0.0000 0.0000 0.0000
```

Computed properties:
Electronic total energy in eV per atom: -10.34
E_form (uncorrected) in meV per atom: -3545
Magnetization in μB/f.u.: 7.71

---

Record 10
A geometry-optimized BaReSe2N structure. Source: Alexandria via LeMat-Bulk, functional PBE-GGA.

Cell and atoms, written as POSCAR:
```
BaReSe2N
1.0
-3.2884 -1.6393 3.8326
3.9414 0.3665 3.5385
-0.9867 3.6619 0.7197
Re Ba Se N
1 1 2 1
Cartesian
0.0000 0.0000 0.0000
-0.1668 1.1946 4.0454
-1.6442 -0.8196 1.9163
1.9707 0.1833 1.7692
-0.4933 1.8309 0.3598
```

Computed properties:
Excess energy over the best structure of this formula in the dataset in eV per formula unit: 0.00
Electronic total energy in eV per atom: -6.48
E_form (uncorrected) in meV per atom: -543
Magnetization in μB/f.u.: 1.01

---

Record 11
A geometry-optimized Mg3GaIr structure. Source: Alexandria via LeMat-Bulk, functional PBE-GGA.

Cell and atoms, written as POSCAR:
```
Mg3GaIr
1.0
4.8117 0.0000 0.0000
0.0000 4.8117 0.0000
0.0000 0.0000 4.8117
Mg Ga Ir
3 1 1
Cartesian
0.0000 2.4058 0.0000
0.0000 0.0000 2.4058
2.4058 0.0000 0.0000
0.0000 0.0000 0.0000
2.4058 2.4058 2.4058
```

Computed properties:
Excess energy over the best structure of this formula in the dataset in eV per formula unit: 5.17
ΔH_f (0 K) in kJ per mole of atoms: 70.9
Electronic total energy in eV per atom: -2.60
Magnetization in μB/f.u.: 1.00

---

Record 12
A geometry-optimized SiSe2Br structure. Source: Alexandria via LeMat-Bulk, functional PBE-GGA.

Cell and atoms, written as POSCAR:
```
SiSe2Br
1.0
4.9231 -0.0170 0.0000
0.0081 4.9231 0.0000
-2.4656 -2.4531 3.4844
Se Si Br
2 1 1
Cartesian
0.0040 2.4616 1.7422
0.0000 0.0000 0.0000
2.4656 2.4531 0.0000
2.4616 -0.0085 1.7422
```

Computed properties:
Excess energy over the best structure of this formula in the dataset in eV per formula unit: 2.87
Electronic total energy in eV per atom: -2.91
E_form (uncorrected) in meV per atom: 603
Magnetization in μB/f.u.: 0.00

---

Record 13
A geometry-optimized ZrSi3 structure. Source: Alexandria via LeMat-Bulk, functional PBE-GGA.

Cell and atoms, written as POSCAR:
```
ZrSi3
1.0
2.9160 -0.0329 0.0000
-0.6447 2.8440 0.0000
0.0000 0.0000 7.9605
Zr Si
1 3
Cartesian
1.1357 1.4055 1.9901
0.0000 0.0000 4.0749
0.0000 0.0000 7.8658
1.1357 1.4055 5.9704
```

Computed properties:
Electronic total energy in eV per atom: -6.15
E_form (uncorrected) in meV per atom: 56
Magnetization in μB/f.u.: 0.00

---

Record 14
A geometry-optimized Cs5Ga4Bi2 structure. Source: Alexandria via LeMat-Bulk, functional PBE-GGA.

Cell and atoms, written as POSCAR:
```
Cs5Ga4Bi2
1.0
-2.5667 6.8230 -2.2623
-6.6300 2.7281 2.8739
0.4737 7.1935 8.2817
Ga Cs Bi
4 5 2
Cartesian
-2.0019 8.7222 2.8247
-6.7211 8.0224 6.0686
-1.5629 4.1805 1.5053
-7.1602 12.5641 7.3880
-3.4038 11.5664 6.6704
-3.0782 4.9608 5.5778
-2.1433 8.2159 7.7813
-6.5797 8.5287 1.1120
-5.3193 5.1782 2.2230
-5.9600 9.0902 8.4253
-2.7631 7.6544 0.4681
```

Computed properties:
ΔH_f (0 K) in kJ per mole of atoms: -1.7
Electronic total energy in eV per atom: -2.21
Magnetization in μB/f.u.: 0.00